Entry 1:
Below is an optimized crystal structure of CaCeFe8Sb24, with properties calculated at the GGA-PBE level.

Geometry as POSCAR:
```
CaCeFe8Sb24
1.0
-7.170 -0.849 -3.307
0.823 -1.462 -7.763
0.384 -12.736 2.438
Sb Ca Fe Ce
24 1 8 1
Direct
0.752 0.085 0.581
0.914 0.914 0.248
0.251 0.251 0.586
0.247 0.247 0.914
0.586 0.586 0.252
0.672 0.996 0.833
0.414 0.414 0.748
0.004 0.328 0.167
0.328 0.004 0.167
0.753 0.753 0.086
0.248 0.915 0.419
0.749 0.749 0.414
0.495 0.170 0.333
0.085 0.752 0.581
0.505 0.830 0.667
0.170 0.495 0.333
0.746 0.415 0.919
0.585 0.254 0.081
0.996 0.672 0.833
0.254 0.585 0.081
0.086 0.086 0.752
0.915 0.248 0.419
0.830 0.505 0.667
0.415 0.746 0.919
0.000 0.000 0.000
0.500 0.000 0.500
0.749 0.251 0.748
0.000 0.500 0.500
0.749 0.251 0.252
0.000 0.500 0.000
0.500 0.000 0.000
0.251 0.749 0.748
0.251 0.749 0.252
0.500 0.500 0.500
```

## Properties
The value obtained for the calculated density is 7.64 Mg/m³. The formation energy without anion corrections is -6.31 eV/f.u. As for the space group: C2/m. Its total energy is -5.320 eV/atom.


Entry 2:
Below is an optimized crystal structure of CaCeGa, with properties calculated at the GGA-PBE level.

Geometry as POSCAR:
```
CaCeGa
1.0
4.845 0.000 0.060
2.422 4.196 0.041
-0.109 -0.024 8.641
Ga Ce Ca
2 2 2
Direct
0.000 0.500 0.185
0.000 0.500 0.815
0.667 0.167 0.933
0.333 0.833 0.067
0.667 0.167 0.356
0.333 0.833 0.644
```

## Properties
The value obtained for the calculated density is 4.72 Mg/m³. The formation energy comes out at -0.222 eV per atom. As for the space group: P-3m1. Its total energy is -3.876 eV/atom. The calculation puts the energy above the most stable polymorph in this dataset at 2.35 kcal/mol of atoms.


Entry 3:
Below is an optimized crystal structure of CaCeGa, with properties calculated at the GGA-PBE level.

Geometry as POSCAR:
```
CaCeGa
1.0
-1.713 1.461 -2.966
-3.145 0.311 1.969
5.785 10.335 4.088
Ca Ga Ce
2 2 2
Direct
0.576 0.576 0.153
0.424 0.424 0.847
0.849 0.849 0.697
0.151 0.151 0.303
0.721 0.721 0.443
0.279 0.279 0.557
```

## Properties
The value obtained for the calculated density is 4.89 Mg/m³. The formation energy comes out at -0.247 eV per atom. As for the space group: I4/mmm. Its total energy is -3.902 eV/atom. The calculation puts the energy above the most stable polymorph in this dataset at 1.76 kcal/mol of atoms.


Entry 4:
Below is an optimized crystal structure of CaCe4Ga4, with properties calculated at the GGA-PBE level.

Geometry as POSCAR:
```
CaCe4Ga4
1.0
6.259 0.000 0.000
0.000 8.781 0.000
0.000 0.000 8.781
Ce Ga Ca
8 8 2
Direct
0.651 0.889 0.711
0.651 0.111 0.289
0.349 0.289 0.889
0.849 0.389 0.211
0.849 0.611 0.789
0.151 0.211 0.611
0.151 0.789 0.389
0.349 0.711 0.111
0.664 0.781 0.381
0.164 0.881 0.719
0.836 0.719 0.119
0.336 0.619 0.781
0.664 0.219 0.619
0.164 0.119 0.281
0.836 0.281 0.881
0.336 0.381 0.219
0.500 0.500 0.500
0.000 0.000 0.000
```

## Properties
The value obtained for the calculated density is 6.05 Mg/m³. The formation energy comes out at -0.253 eV per atom. As for the space group: P4_2/n. Its total energy is -4.458 eV/atom.


Entry 5:
Below is an optimized crystal structure of Ca2CeGa6, with properties calculated at the GGA-PBE level.

Geometry as POSCAR:
```
Ca2CeGa6
1.0
-3.471 2.518 0.111
-4.373 -6.021 -0.166
2.238 2.796 6.526
Ga Ca Ce
6 2 1
Direct
0.500 0.000 0.667
0.500 0.667 0.000
0.500 0.333 0.333
0.500 0.333 0.000
0.500 0.000 0.333
0.500 0.667 0.667
0.000 0.667 0.333
0.000 0.333 0.667
0.000 0.000 0.000
```

## Properties
The value obtained for the calculated density is 5.15 Mg/m³. The formation energy comes out at -0.507 eV per atom. As for the space group: P6/mmm. Its total energy is -3.629 eV/atom.


Entry 6:
Below is an optimized crystal structure of CaCe2Ga6, with properties calculated at the GGA-PBE level.

Geometry as POSCAR:
```
CaCe2Ga6
1.0
-2.432 1.165 -3.611
-5.136 -4.602 1.975
0.913 6.402 4.263
Ca Ce Ga
1 2 6
Direct
0.000 0.500 0.000
0.108 0.108 0.215
0.892 0.892 0.785
0.691 0.496 0.383
0.500 0.202 0.000
0.691 0.887 0.383
0.500 0.798 0.000
0.309 0.113 0.617
0.309 0.504 0.617
```

## Properties
The value obtained for the calculated density is 5.85 Mg/m³. The formation energy comes out at -0.413 eV per atom. As for the space group: Immm. Its total energy is -3.972 eV/atom. The calculation puts the energy above the most stable polymorph in this dataset at 3.00 kcal/mol of atoms.


Entry 7:
Below is an optimized crystal structure of CaCe2Ga6, with properties calculated at the GGA-PBE level.

Geometry as POSCAR:
```
CaCe2Ga6
1.0
-3.808 -1.908 0.162
2.995 -5.661 3.742
-2.762 5.824 3.670
Ga Ce Ca
6 2 1
Direct
0.500 0.000 0.335
0.500 0.000 0.665
0.500 0.665 0.665
0.500 0.335 0.000
0.500 0.335 0.335
0.500 0.665 0.000
0.000 0.667 0.333
0.000 0.333 0.667
0.000 0.000 0.000
```

## Properties
The value obtained for the calculated density is 6.04 Mg/m³. The formation energy comes out at -0.544 eV per atom. As for the space group: P6/mmm. Its total energy is -4.102 eV/atom. The calculation puts the energy above the most stable polymorph in this dataset at 0.00 kcal/mol of atoms.


Entry 8:
Below is an optimized crystal structure of CaCe2Ga8, with properties calculated at the GGA-PBE level.

Geometry as POSCAR:
```
CaCe2Ga8
1.0
5.607 1.145 -2.093
0.945 5.106 -2.821
-1.497 0.177 9.030
Ga Ce Ca
8 2 1
Direct
0.270 0.770 0.540
0.229 0.309 0.288
0.853 0.362 0.000
0.059 0.979 0.288
0.771 0.691 0.712
0.730 0.230 0.460
0.941 0.021 0.712
0.147 0.638 0.000
0.338 0.338 0.677
0.662 0.662 0.323
0.500 0.000 0.000
```

## Properties
The value obtained for the calculated density is 6.07 Mg/m³. The formation energy comes out at -0.395 eV per atom. As for the space group: C2/m. Its total energy is -3.857 eV/atom.